4
Lattice="-2.565 2.565 3.645 2.565 -2.565 3.645 2.565 2.565 -3.645" Properties=species:S:1:pos:R:3 comment="La2TlRu, optimized geometry, DFT PBE" e_form_ev_per_atom=-0.079 n_ef_per_ev_cell=5.3 relative_energy_ev_per_fu=0.92 pbc="T T T"
La 0.000 0.000 0.000
La 0.000 2.565 1.823
Tl 0.000 0.000 3.645
Ru 2.565 0.000 1.823